Compound: Sm8Ag3Sn2
Source: the Alexandria database
Functional: GGA-PBE
Structure: relaxed

Output
final energy	-4.411	eV per atom
formation energy from the elements	-0.2326	eV per atom
total moment	0.000	μB per atom
SG	No. 65

Cell lengths 5.1602, 10.2453, 9.1798 Å; angles 123.92, 90.00, 90.00 degrees
Sites, in units of the cell vectors:
Sm 0.0000 0.6193 0.2385
Sm 0.0000 0.3807 0.7615
Sm 0.0000 0.1253 0.2507
Sm 0.0000 0.8747 0.7493
Sm 0.5000 0.6248 0.7567
Sm 0.5000 0.1320 0.7567
Sm 0.5000 0.8680 0.2433
Sm 0.5000 0.3752 0.2433
Ag 0.5000 0.0000 0.0000
Ag 0.0000 0.2482 0.0000
Ag 0.0000 0.7518 0.0000
Sn 0.5000 0.2511 0.5023
Sn 0.5000 0.7489 0.4977